Material: Sc2Al2Hg
Method: DFT, GGA-PBE
State: optimized geometry

```
10
Lattice="-2.8205 1.0552 -6.1046 -5.8090 -2.7815 2.2031 -1.3844 3.9369 1.3202" Properties=species:S:1:pos:R:3 pbc="T T T"
Sc -4.9913 1.9182 -3.6983
Sc -2.5962 1.8621 -1.0195
Sc -5.0226 0.2925 1.1170
Sc -7.4176 0.3485 -1.5618
Al -6.0686 -2.0237 -0.3290
Al -2.5060 -0.8792 -0.0061
Al -2.5608 0.2974 -3.5725
Al -6.1234 -0.8471 -3.8954
Hg -4.3147 -0.8631 -1.9507
Hg 0.0000 0.0000 0.0000
```

Calculated values
ΔH_f (0 K), meV/atom: -399.7
Spin magnetization, μB per formula unit: 0.00
Energy, eV for the cell shown: -44.90